1.
Below is an optimized crystal structure of Tm2HfAl3Cu2Ni, with properties calculated at the GGA-PBE level. Values from VASP.

Cell and atoms, written as Quantum ESPRESSO input:
```
&SYSTEM
  ibrav = 0, nat = 9, ntyp = 5
/
ATOMIC_SPECIES
Tm 168.93 Tm.upf
Hf 178.49 Hf.upf
Al 26.98 Al.upf
Cu 63.55 Cu.upf
Ni 58.69 Ni.upf
ATOMIC_POSITIONS crystal
Tm 0.0000 0.2054 0.7946
Tm 0.0000 0.7946 0.2054
Hf 0.0000 0.6122 0.6122
Al 0.5000 0.2118 0.4436
Al 0.5000 0.4436 0.2118
Al 0.5000 0.9640 0.9640
Cu 0.5000 0.5418 0.8636
Cu 0.5000 0.8636 0.5418
Ni 0.0000 0.2147 0.2147
CELL_PARAMETERS angstrom
3.8788 0.0000 0.0000
0.0000 5.9461 3.4012
0.0000 -5.9461 3.4012
```

Calculated values
Calculated total energy = -47.61 eV/cell
SG = Amm2
V = 156.9 Å³/f.u.
ρ = 8.29 g/cm3


2.
Below is an optimized crystal structure of HoTmCo2Si2C, with properties calculated at the GGA-PBE level. Values from VASP.

Cell and atoms, written as Quantum ESPRESSO input:
```
&SYSTEM
  ibrav = 0, nat = 7, ntyp = 5
/
ATOMIC_SPECIES
Ho 164.93 Ho.upf
Tm 168.93 Tm.upf
Co 58.93 Co.upf
Si 28.09 Si.upf
C 12.01 C.upf
ATOMIC_POSITIONS crystal
Ho 0.0000 0.0000 0.0000
Tm 0.1269 0.1269 0.5928
Co 0.3647 0.3647 0.2084
Co 0.7636 0.7636 0.3864
Si 0.4088 0.4088 0.5953
Si 0.7187 0.7187 0.9976
C 0.5647 0.5647 0.2994
CELL_PARAMETERS angstrom
5.2478 -1.9220 0.0000
5.2478 1.9220 0.0000
-4.2793 0.0000 5.1976
```

Calculated values
Calculated total energy = -48.20 eV/cell
SG = Cm
V = 104.9 Å³/f.u.
ρ = 8.23 g/cm3


3.
Below is an optimized crystal structure of ErNb2N4, with properties calculated at the GGA-PBE level. Values from VASP.

Cell and atoms, written as Quantum ESPRESSO input:
```
&SYSTEM
  ibrav = 0, nat = 14, ntyp = 3
/
ATOMIC_SPECIES
Er 167.26 Er.upf
Nb 92.91 Nb.upf
N 14.01 N.upf
ATOMIC_POSITIONS crystal
Er 0.1161 0.8839 0.7500
Er 0.8839 0.1161 0.2500
Nb 0.3707 0.6293 0.5687
Nb 0.3707 0.6293 0.9313
Nb 0.6293 0.3707 0.0687
Nb 0.6293 0.3707 0.4313
N 0.0000 0.0000 0.0000
N 0.0000 0.0000 0.5000
N 0.2697 0.7303 0.1157
N 0.2697 0.7303 0.3843
N 0.4467 0.5533 0.7500
N 0.5533 0.4467 0.2500
N 0.7303 0.2697 0.6157
N 0.7303 0.2697 0.8843
CELL_PARAMETERS angstrom
1.5559 -5.1026 0.0000
1.5559 5.1026 0.0000
0.0000 0.0000 10.3286
```

Calculated values
Calculated total energy = -132.68 eV/cell
SG = Cmcm
V = 82.0 Å³/f.u.
ρ = 8.28 g/cm3


4.
Below is an optimized crystal structure of Rb2NdErS4, with properties calculated at the GGA-PBE level. Values from VASP.

Cell and atoms, written as Quantum ESPRESSO input:
```
&SYSTEM
  ibrav = 0, nat = 8, ntyp = 4
/
ATOMIC_SPECIES
Rb 85.47 Rb.upf
Nd 144.24 Nd.upf
Er 167.26 Er.upf
S 32.06 S.upf
ATOMIC_POSITIONS crystal
Rb 0.3333 0.6667 0.2539
Rb 0.6667 0.3333 0.7461
Nd 0.0000 0.0000 0.0000
Er 0.0000 0.0000 0.5000
S 0.3333 0.6667 0.5929
S 0.3333 0.6667 0.8980
S 0.6667 0.3333 0.1020
S 0.6667 0.3333 0.4071
CELL_PARAMETERS angstrom
4.1176 0.0000 0.0000
-2.0588 3.5659 0.0000
0.0000 0.0000 15.3891
```

Calculated values
Calculated total energy = -42.41 eV/cell
SG = P-3m1
V = 226.0 Å³/f.u.
ρ = 4.49 g/cm3


What did the first record say?
Below is an optimized crystal structure of Tm2HfAl3Cu2Ni, with properties calculated at the GGA-PBE level. Values from VASP.

Cell and atoms, written as Quantum ESPRESSO input:
```
&SYSTEM
  ibrav = 0, nat = 9, ntyp = 5
/
ATOMIC_SPECIES
Tm 168.93 Tm.upf
Hf 178.49 Hf.upf
Al 26.98 Al.upf
Cu 63.55 Cu.upf
Ni 58.69 Ni.upf
ATOMIC_POSITIONS crystal
Tm 0.0000 0.2054 0.7946
Tm 0.0000 0.7946 0.2054
Hf 0.0000 0.6122 0.6122
Al 0.5000 0.2118 0.4436
Al 0.5000 0.4436 0.2118
Al 0.5000 0.9640 0.9640
Cu 0.5000 0.5418 0.8636
Cu 0.5000 0.8636 0.5418
Ni 0.0000 0.2147 0.2147
CELL_PARAMETERS angstrom
3.8788 0.0000 0.0000
0.0000 5.9461 3.4012
0.0000 -5.9461 3.4012
```

Calculated values
Calculated total energy = -47.61 eV/cell
SG = Amm2
V = 156.9 Å³/f.u.
ρ = 8.29 g/cm3


Which of these has the lowest calculated total energy? ErNb2N4


Copy entry 2 word for word.
Below is an optimized crystal structure of HoTmCo2Si2C, with properties calculated at the GGA-PBE level. Values from VASP.

Cell and atoms, written as Quantum ESPRESSO input:
```
&SYSTEM
  ibrav = 0, nat = 7, ntyp = 5
/
ATOMIC_SPECIES
Ho 164.93 Ho.upf
Tm 168.93 Tm.upf
Co 58.93 Co.upf
Si 28.09 Si.upf
C 12.01 C.upf
ATOMIC_POSITIONS crystal
Ho 0.0000 0.0000 0.0000
Tm 0.1269 0.1269 0.5928
Co 0.3647 0.3647 0.2084
Co 0.7636 0.7636 0.3864
Si 0.4088 0.4088 0.5953
Si 0.7187 0.7187 0.9976
C 0.5647 0.5647 0.2994
CELL_PARAMETERS angstrom
5.2478 -1.9220 0.0000
5.2478 1.9220 0.0000
-4.2793 0.0000 5.1976
```

Calculated values
Calculated total energy = -48.20 eV/cell
SG = Cm
V = 104.9 Å³/f.u.
ρ = 8.23 g/cm3


Copy entry 3 word for word.
Below is an optimized crystal structure of ErNb2N4, with properties calculated at the GGA-PBE level. Values from VASP.

Cell and atoms, written as Quantum ESPRESSO input:
```
&SYSTEM
  ibrav = 0, nat = 14, ntyp = 3
/
ATOMIC_SPECIES
Er 167.26 Er.upf
Nb 92.91 Nb.upf
N 14.01 N.upf
ATOMIC_POSITIONS crystal
Er 0.1161 0.8839 0.7500
Er 0.8839 0.1161 0.2500
Nb 0.3707 0.6293 0.5687
Nb 0.3707 0.6293 0.9313
Nb 0.6293 0.3707 0.0687
Nb 0.6293 0.3707 0.4313
N 0.0000 0.0000 0.0000
N 0.0000 0.0000 0.5000
N 0.2697 0.7303 0.1157
N 0.2697 0.7303 0.3843
N 0.4467 0.5533 0.7500
N 0.5533 0.4467 0.2500
N 0.7303 0.2697 0.6157
N 0.7303 0.2697 0.8843
CELL_PARAMETERS angstrom
1.5559 -5.1026 0.0000
1.5559 5.1026 0.0000
0.0000 0.0000 10.3286
```

Calculated values
Calculated total energy = -132.68 eV/cell
SG = Cmcm
V = 82.0 Å³/f.u.
ρ = 8.28 g/cm3